# 1
Computed, not measured: a relaxed structure of RbAlI2N at the PBE-GGA level of DFT.

extended XYZ file:
```
5
Lattice="6.404 0.000 0.000 0.000 6.404 0.000 0.000 0.000 3.544" Properties=species:S:1:pos:R:3 pbc="T T T"
Rb 0.000 0.000 0.000
Al 3.202 3.202 1.772
I 0.000 3.202 1.772
I 3.202 0.000 1.772
N 3.202 3.202 0.000
```

Properties
Energy above the lowest structure with this stoichiometry = 0 meV/atom
ΔE_f (raw) = -395 meV/atom
N(E_F) = 0.60 states/eV/atom
Crystal system = tetragonal
Space-group type = P4/mmm

# 2
Computed, not measured: a relaxed structure of AlReIN2 at the PBE-GGA level of DFT.

extended XYZ file:
```
5
Lattice="3.958 0.000 0.000 0.000 3.958 0.000 0.000 0.000 5.724" Properties=species:S:1:pos:R:3 pbc="T T T"
Al 0.000 0.000 0.000
Re 1.979 1.979 2.862
I 1.979 1.979 0.000
N 0.000 1.979 2.862
N 1.979 0.000 2.862
```

Properties
Energy above the lowest structure with this stoichiometry = 296 meV/atom
ΔE_f (raw) = 753 meV/atom
N(E_F) = 0.54 states/eV/atom
Crystal system = tetragonal
Space-group type = P4/mmm

# 3
Computed, not measured: a relaxed structure of AlReIN2 at the PBE-GGA level of DFT.

extended XYZ file:
```
5
Lattice="3.812 0.000 0.000 0.000 3.812 0.000 0.000 0.000 6.186" Properties=species:S:1:pos:R:3 pbc="T T T"
Al 0.000 0.000 0.000
Re 1.906 1.906 3.093
I 0.000 0.000 3.093
N 0.000 1.906 0.000
N 1.906 0.000 0.000
```

Properties
Energy above the lowest structure with this stoichiometry = 1210 meV/atom
ΔE_f (raw) = 1668 meV/atom
N(E_F) = 0.72 states/eV/atom
Crystal system = tetragonal
Space-group type = P4/mmm

# 4
Computed, not measured: a relaxed structure of AlRe2IN at the PBE-GGA level of DFT.

extended XYZ file:
```
5
Lattice="4.163 0.000 0.000 0.000 4.163 0.000 0.000 0.000 4.413" Properties=species:S:1:pos:R:3 pbc="T T T"
Al 0.000 0.000 0.000
Re 0.000 2.082 2.206
Re 2.082 0.000 2.206
I 2.082 2.082 0.000
N 0.000 0.000 2.206
```

Properties
ΔE_f (raw) = 1042 meV/atom
N(E_F) = 1.07 states/eV/atom
Crystal system = tetragonal
Space-group type = P4/mmm

# 5
Computed, not measured: a relaxed structure of AlReIN2 at the PBE-GGA level of DFT.

extended XYZ file:
```
5
Lattice="3.892 0.000 0.000 0.000 3.892 0.000 0.000 0.000 5.649" Properties=species:S:1:pos:R:3 pbc="T T T"
Al 0.000 0.000 0.000
Re 0.000 0.000 2.824
I 1.946 1.946 0.000
N 0.000 1.946 2.824
N 1.946 0.000 2.824
```

Properties
Energy above the lowest structure with this stoichiometry = 0 meV/atom
ΔE_f (raw) = 458 meV/atom
N(E_F) = 0.43 states/eV/atom
Crystal system = tetragonal
Space-group type = P4/mmm

# 6
Computed, not measured: a relaxed structure of AlRuIN2 at the PBE-GGA level of DFT.

extended XYZ file:
```
5
Lattice="3.930 0.000 0.000 0.000 3.930 0.000 0.000 0.000 5.736" Properties=species:S:1:pos:R:3 pbc="T T T"
Al 0.000 0.000 0.000
Ru 1.965 1.965 2.868
I 1.965 1.965 0.000
N 0.000 1.965 2.868
N 1.965 0.000 2.868
```

Properties
Energy above the lowest structure with this stoichiometry = 0 meV/atom
ΔE_f (raw) = 1008 meV/atom
N(E_F) = 0.54 states/eV/atom
Crystal system = tetragonal
Space-group type = P4/mmm

# 7
Computed, not measured: a relaxed structure of AlRuI2N at the PBE-GGA level of DFT.

extended XYZ file:
```
5
Lattice="5.646 0.000 0.000 0.000 5.646 0.000 0.000 0.000 3.741" Properties=species:S:1:pos:R:3 pbc="T T T"
Al 0.000 0.000 0.000
Ru 2.823 2.823 1.870
I 0.000 2.823 1.870
I 2.823 0.000 1.870
N 2.823 2.823 0.000
```

Properties
Energy above the lowest structure with this stoichiometry = 0 meV/atom
ΔE_f (raw) = 369 meV/atom
N(E_F) = 0.33 states/eV/atom
Crystal system = tetragonal
Space-group type = P4/mmm

# 8
Computed, not measured: a relaxed structure of AlRuIN2 at the PBE-GGA level of DFT.

extended XYZ file:
```
5
Lattice="4.025 0.000 0.000 0.000 4.025 0.000 0.000 0.000 5.176" Properties=species:S:1:pos:R:3 pbc="T T T"
Al 0.000 0.000 0.000
Ru 2.013 2.013 0.000
I 2.013 2.013 2.588
N 0.000 2.013 2.588
N 2.013 0.000 2.588
```

Properties
Energy above the lowest structure with this stoichiometry = 1016 meV/atom
ΔE_f (raw) = 2024 meV/atom
N(E_F) = 0.61 states/eV/atom
Crystal system = tetragonal
Space-group type = P4/mmm

Ρ for every record listed, in sequence, given in g cm⁻³: 4.3; 6.8; 6.8; 11.7; 7.1; 5.3; 5.5; 5.6.